A geometry-optimized ZrTaSi2 structure. Source: Alexandria via LeMat-Bulk, functional PBE-GGA.

Properties
total magnetic moment: 0.000 μB per formula unit
energy relative to the elements, uncorrected: 0.071 eV/atom

a b c (Å): 3.0011 3.0011 26.9897
angles (deg): 90.00 90.00 120.00
Space group R3m (No. 160, hexagonal axes)
Asymmetric unit:
Zr 0.0000 0.0000 0.0000
Ta 0.0000 0.0000 0.2330
Si 0.0000 0.0000 0.4885
Si 0.0000 0.0000 0.7513